Material: Mg3Nb6O11
Method: DFT, PBEsol
State: optimized geometry

Cell lengths 6.055, 6.055, 7.497 Å; angles 90.00, 90.00, 120.00 degrees
Fractional coordinates of all 20 atoms:
Mg  0.000  0.000  0.500
Mg  0.333  0.667  0.576
Mg  0.667  0.333  0.424
O  0.688  0.844  0.673
O  0.844  0.156  0.327
O  0.844  0.688  0.327
O  0.312  0.156  0.327
O  0.500  0.000  0.000
O  0.156  0.312  0.673
O  0.500  0.500  0.000
O  0.156  0.844  0.673
O  0.333  0.667  0.313
O  0.667  0.333  0.687
O  0.000  0.500  0.000
Nb  0.310  0.155  0.847
Nb  0.690  0.845  0.153
Nb  0.155  0.845  0.153
Nb  0.845  0.690  0.847
Nb  0.845  0.155  0.847
Nb  0.155  0.310  0.153

---

Material: MgNb2O6
Method: DFT, PBEsol
State: optimized geometry

Cell lengths 5.045, 5.737, 14.299 Å; angles 90.00, 90.00, 90.00 degrees
Fractional coordinates of all 36 atoms:
O  0.079  0.877  0.256
O  0.910  0.114  0.079
O  0.079  0.377  0.244
O  0.921  0.123  0.744
O  0.410  0.886  0.079
O  0.925  0.105  0.404
O  0.090  0.886  0.921
O  0.579  0.623  0.244
O  0.410  0.386  0.421
O  0.421  0.377  0.756
O  0.590  0.614  0.579
O  0.425  0.395  0.096
O  0.575  0.105  0.596
O  0.925  0.605  0.096
O  0.425  0.895  0.404
O  0.579  0.123  0.256
O  0.075  0.895  0.596
O  0.421  0.877  0.744
O  0.921  0.623  0.756
O  0.910  0.614  0.421
O  0.590  0.114  0.921
O  0.075  0.395  0.904
O  0.575  0.605  0.904
O  0.090  0.386  0.579
Nb  0.751  0.816  0.340
Nb  0.251  0.184  0.340
Nb  0.751  0.316  0.160
Nb  0.251  0.684  0.160
Nb  0.749  0.816  0.660
Nb  0.249  0.684  0.840
Nb  0.249  0.184  0.660
Nb  0.749  0.316  0.840
Mg  0.250  0.665  0.500
Mg  0.750  0.835  0.000
Mg  0.750  0.335  0.500
Mg  0.250  0.165  0.000

---

Material: MgNbP2O
Method: DFT, PBEsol
State: optimized geometry

Cell lengths 3.871, 4.903, 4.903 Å; angles 90.00, 90.00, 90.00 degrees
Fractional coordinates of all 5 atoms:
Mg  0.500  0.500  0.500
P  0.000  0.500  0.000
P  0.000  0.000  0.500
Nb  0.000  0.000  0.000
O  0.500  0.000  0.000

---

Material: MgTiNb2Pb4O12
Method: DFT, PBEsol
State: optimized geometry

Computed properties:
Offset from the most stable computed form (meV per atom): 6

Cell lengths 5.700, 5.801, 7.954 Å; angles 90.00, 90.00, 90.00 degrees
Fractional coordinates of all 20 atoms:
O  0.743  0.721  0.500
O  0.500  0.962  0.255
O  0.731  0.717  0.000
O  0.752  0.209  0.500
O  0.755  0.210  0.000
O  0.000  0.445  0.258
O  0.245  0.210  0.000
O  0.000  0.445  0.742
O  0.248  0.209  0.500
O  0.500  0.962  0.745
O  0.257  0.721  0.500
O  0.269  0.717  0.000
Ti  0.500  0.013  0.500
Pb  0.500  0.535  0.770
Pb  0.000  0.040  0.755
Pb  0.500  0.535  0.230
Pb  0.000  0.040  0.245
Mg  0.000  0.490  0.000
Nb  0.000  0.513  0.500
Nb  0.500  0.989  0.000

---

Record-wise calculated volume values, in Å³ per cell: 238.0 413.8 93.1 263.0
Record-wise electronic total energy values, in eV per cell: -176.08 -314.48 -32.30 -152.92
Record-wise formation energy from raw total energies values, in eV/f.u.: -48.26 -23.76 -2.93 -42.25